[1]
VASP calculation (GGA-PBE) on an optimized crystal structure of KBPd.

Geometry as CIF:
```
data_KBPd
_chemical_formula_sum 'K4 B4 Pd4'
_space_group_name_H-M_alt 'C 1 m 1'
_space_group_IT_number 8
_cell_length_a 6.8244
_cell_length_b 5.5046
_cell_length_c 5.9341
_cell_angle_alpha 90.00
_cell_angle_beta 106.94
_cell_angle_gamma 90.00
loop_
_space_group_symop_operation_xyz
'x,y,z'
'x,-y,z'
'x+1/2,y+1/2,z'
'x+1/2,-y+1/2,z'
loop_
_atom_site_label
_atom_site_fract_x
_atom_site_fract_y
_atom_site_fract_z
_atom_site_occupancy
K1 0.0000 0.2498 0.0000 1
B1 0.1313 0.1593 0.5140 1
Pd1 0.3238 0.5000 0.4884 1
Pd2 0.4265 0.0000 0.4900 1
```

Values from the calculation:
As for the formation energy from the elements: 0.085 eV/atom.



[2]
VASP calculation (GGA-PBE) on an optimized crystal structure of KB3Pd.

Geometry as CIF:
```
data_KB3Pd
_chemical_formula_sum 'K1 B3 Pd1'
_space_group_name_H-M_alt 'P m -3 m'
_space_group_IT_number 221
_space_group_name_Hall '-P 4 2 3'
_cell_length_a 4.6056
_cell_length_b 4.6056
_cell_length_c 4.6056
_cell_angle_alpha 90.00
_cell_angle_beta 90.00
_cell_angle_gamma 90.00
loop_
_atom_site_label
_atom_site_fract_x
_atom_site_fract_y
_atom_site_fract_z
_atom_site_occupancy
K1 0.0000 0.0000 0.0000 1
B1 0.0000 0.0000 0.5000 1
Pd1 0.5000 0.5000 0.5000 1
```

Values from the calculation:
The offset from the most stable computed form is 2099 meV/atom. As for the formation energy from the elements: 3.404 eV/atom.



[3]
VASP calculation (GGA-PBE) on an optimized crystal structure of KB2Pd.

Geometry as CIF:
```
data_KB2Pd
_chemical_formula_sum 'K4 B8 Pd4'
_space_group_name_H-M_alt 'F m -3 m'
_space_group_IT_number 225
_space_group_name_Hall '-F 4 2 3'
_cell_length_a 6.1328
_cell_length_b 6.1328
_cell_length_c 6.1328
_cell_angle_alpha 90.00
_cell_angle_beta 90.00
_cell_angle_gamma 90.00
loop_
_atom_site_label
_atom_site_fract_x
_atom_site_fract_y
_atom_site_fract_z
_atom_site_occupancy
K1 0.0000 0.0000 0.0000 1
B1 0.2500 0.2500 0.2500 1
Pd1 0.0000 0.0000 0.5000 1
```

Values from the calculation:
The offset from the most stable computed form is 973 meV/atom. As for the formation energy from the elements: 1.565 eV/atom.



[4]
VASP calculation (GGA-PBE) on an optimized crystal structure of KB2Pd.

Geometry as CIF:
```
data_KB2Pd
_chemical_formula_sum 'K4 B8 Pd4'
_space_group_name_H-M_alt 'I 41/a m d'
_space_group_IT_number 141
_cell_length_a 5.2755
_cell_length_b 5.2755
_cell_length_c 11.9642
_cell_angle_alpha 90.00
_cell_angle_beta 90.00
_cell_angle_gamma 90.00
loop_
_space_group_symop_operation_xyz
'x,y,z'
'-x,-y,-z'
'-y+1/4,x+3/4,z+1/4'
'y+1/4,-x+3/4,-z+1/4'
'-x+1/2,-y,z+1/2'
'x+1/2,y,-z+1/2'
'y+1/4,-x+1/4,z+3/4'
'-y+1/4,x+1/4,-z+3/4'
'x,-y,-z'
'-x,y,z'
'-y+1/4,-x+1/4,-z+3/4'
'y+1/4,x+1/4,z+3/4'
'-x+1/2,y,-z+1/2'
'x+1/2,-y,z+1/2'
'y+1/4,x+3/4,-z+1/4'
'-y+1/4,-x+3/4,z+1/4'
'x+1/2,y+1/2,z+1/2'
'-x+1/2,-y+1/2,-z+1/2'
'-y+3/4,x+1/4,z+3/4'
'y+3/4,-x+1/4,-z+3/4'
'-x,-y+1/2,z'
'x,y+1/2,-z'
'y+3/4,-x+3/4,z+1/4'
'-y+3/4,x+3/4,-z+1/4'
'x+1/2,-y+1/2,-z+1/2'
'-x+1/2,y+1/2,z+1/2'
'-y+3/4,-x+3/4,-z+1/4'
'y+3/4,x+3/4,z+1/4'
'-x,y+1/2,-z'
'x,-y+1/2,z'
'y+3/4,x+1/4,-z+3/4'
'-y+3/4,-x+1/4,z+3/4'
loop_
_atom_site_label
_atom_site_fract_x
_atom_site_fract_y
_atom_site_fract_z
_atom_site_occupancy
K1 0.0000 0.2500 0.3750 1
B1 0.0000 0.0000 0.0000 1
Pd1 0.0000 0.2500 0.8750 1
```

Values from the calculation:
The offset from the most stable computed form is 0 meV/atom. As for the formation energy from the elements: 0.592 eV/atom.



[5]
VASP calculation (GGA-PBE) on an optimized crystal structure of KBPdPt2.

Geometry as CIF:
```
data_KBPdPt2
_chemical_formula_sum 'K1 B1 Pd1 Pt2'
_space_group_name_H-M_alt 'P 4/m m m'
_space_group_IT_number 123
_space_group_name_Hall '-P 4 2'
_cell_length_a 4.2670
_cell_length_b 4.2670
_cell_length_c 4.5360
_cell_angle_alpha 90.00
_cell_angle_beta 90.00
_cell_angle_gamma 90.00
loop_
_atom_site_label
_atom_site_fract_x
_atom_site_fract_y
_atom_site_fract_z
_atom_site_occupancy
K1 0.0000 0.0000 0.0000 1
B1 0.5000 0.5000 0.5000 1
Pd1 0.5000 0.5000 0.0000 1
Pt1 0.0000 0.5000 0.5000 1
```

Values from the calculation:
As for the formation energy from the elements: -0.095 eV/atom.



[6]
VASP calculation (GGA-PBE) on an optimized crystal structure of KBPd2Pt.

Geometry as CIF:
```
data_KBPd2Pt
_chemical_formula_sum 'K1 B1 Pd2 Pt1'
_space_group_name_H-M_alt 'P 4/m m m'
_space_group_IT_number 123
_space_group_name_Hall '-P 4 2'
_cell_length_a 4.4170
_cell_length_b 4.4170
_cell_length_c 4.2293
_cell_angle_alpha 90.00
_cell_angle_beta 90.00
_cell_angle_gamma 90.00
loop_
_atom_site_label
_atom_site_fract_x
_atom_site_fract_y
_atom_site_fract_z
_atom_site_occupancy
K1 0.0000 0.0000 0.0000 1
B1 0.5000 0.5000 0.5000 1
Pd1 0.0000 0.5000 0.5000 1
Pt1 0.5000 0.5000 0.0000 1
```

Values from the calculation:
As for the formation energy from the elements: -0.097 eV/atom.



[7]
VASP calculation (GGA-PBE) on an optimized crystal structure of KB2PdPt.

Geometry as CIF:
```
data_KB2PdPt
_chemical_formula_sum 'K1 B2 Pd1 Pt1'
_space_group_name_H-M_alt 'P 4/m m m'
_space_group_IT_number 123
_space_group_name_Hall '-P 4 2'
_cell_length_a 4.1362
_cell_length_b 4.1362
_cell_length_c 5.7345
_cell_angle_alpha 90.00
_cell_angle_beta 90.00
_cell_angle_gamma 90.00
loop_
_atom_site_label
_atom_site_fract_x
_atom_site_fract_y
_atom_site_fract_z
_atom_site_occupancy
K1 0.0000 0.0000 0.0000 1
B1 0.0000 0.5000 0.5000 1
Pd1 0.0000 0.0000 0.5000 1
Pt1 0.5000 0.5000 0.0000 1
```

Values from the calculation:
As for the formation energy from the elements: 1.298 eV/atom.



[8]
VASP calculation (GGA-PBE) on an optimized crystal structure of K2B2PdS6.

Geometry as CIF:
```
data_K2B2PdS6
_chemical_formula_sum 'K6 B6 Pd3 S18'
_space_group_name_H-M_alt 'R -3 m'
_space_group_IT_number 166
_space_group_name_Hall '-R 3 2"'
_cell_length_a 6.3992
_cell_length_b 6.3992
_cell_length_c 21.1943
_cell_angle_alpha 90.00
_cell_angle_beta 90.00
_cell_angle_gamma 120.00
loop_
_atom_site_label
_atom_site_fract_x
_atom_site_fract_y
_atom_site_fract_z
_atom_site_occupancy
K1 0.0000 0.0000 0.2165 1
B1 0.0000 0.0000 0.3969 1
Pd1 0.0000 0.0000 0.0000 1
S1 0.0084 0.5042 0.2574 1
```

Values from the calculation:
Its energy relative to the elements, uncorrected is -0.458 eV per atom.



[9]
VASP calculation (GGA-PBE) on an optimized crystal structure of K2BPdSe4.

Geometry as CIF:
```
data_K2BPdSe4
_chemical_formula_sum 'K16 B8 Pd8 Se32'
_space_group_name_H-M_alt 'F d d d'
_space_group_IT_number 70
_cell_length_a 6.7628
_cell_length_b 12.7144
_cell_length_c 20.3352
_cell_angle_alpha 90.00
_cell_angle_beta 90.00
_cell_angle_gamma 90.00
loop_
_space_group_symop_operation_xyz
'x,y,z'
'-x,-y,-z'
'-x+1/4,-y+1/4,z'
'x+1/4,y+1/4,-z'
'x,-y+1/4,-z+1/4'
'-x,y+1/4,z+1/4'
'-x+1/4,y,-z+1/4'
'x+1/4,-y,z+1/4'
'x,y+1/2,z+1/2'
'-x,-y+1/2,-z+1/2'
'-x+1/4,-y+3/4,z+1/2'
'x+1/4,y+3/4,-z+1/2'
'x,-y+3/4,-z+3/4'
'-x,y+3/4,z+3/4'
'-x+1/4,y+1/2,-z+3/4'
'x+1/4,-y+1/2,z+3/4'
'x+1/2,y,z+1/2'
'-x+1/2,-y,-z+1/2'
'-x+3/4,-y+1/4,z+1/2'
'x+3/4,y+1/4,-z+1/2'
'x+1/2,-y+1/4,-z+3/4'
'-x+1/2,y+1/4,z+3/4'
'-x+3/4,y,-z+3/4'
'x+3/4,-y,z+3/4'
'x+1/2,y+1/2,z'
'-x+1/2,-y+1/2,-z'
'-x+3/4,-y+3/4,z'
'x+3/4,y+3/4,-z'
'x+1/2,-y+3/4,-z+1/4'
'-x+1/2,y+3/4,z+1/4'
'-x+3/4,y+1/2,-z+1/4'
'x+3/4,-y+1/2,z+1/4'
loop_
_atom_site_label
_atom_site_fract_x
_atom_site_fract_y
_atom_site_fract_z
_atom_site_occupancy
K1 0.1250 0.1250 0.3085 1
B1 0.1250 0.1250 0.6250 1
Pd1 0.1250 0.1250 0.1250 1
Se1 0.0833 0.2966 0.8180 1
```

Values from the calculation:
Its energy relative to the elements, uncorrected is -0.574 eV per atom.



[10]
VASP calculation (GGA-PBE) on an optimized crystal structure of KTl2BPd.

Geometry as CIF:
```
data_KTl2BPd
_chemical_formula_sum 'K1 Tl2 B1 Pd1'
_space_group_name_H-M_alt 'P 4/m m m'
_space_group_IT_number 123
_space_group_name_Hall '-P 4 2'
_cell_length_a 5.9733
_cell_length_b 5.9733
_cell_length_c 4.8358
_cell_angle_alpha 90.00
_cell_angle_beta 90.00
_cell_angle_gamma 90.00
loop_
_atom_site_label
_atom_site_fract_x
_atom_site_fract_y
_atom_site_fract_z
_atom_site_occupancy
K1 0.0000 0.0000 0.0000 1
Tl1 0.0000 0.5000 0.0000 1
B1 0.0000 0.0000 0.5000 1
Pd1 0.5000 0.5000 0.5000 1
```

Values from the calculation:
As for the formation energy from the elements: 1.733 eV/atom.



[11]
VASP calculation (GGA-PBE) on an optimized crystal structure of KPmB12.

Geometry as CIF:
```
data_KPmB12
_chemical_formula_sum 'K4 Pm4 B48'
_space_group_name_H-M_alt 'F m -3 m'
_space_group_IT_number 225
_space_group_name_Hall '-F 4 2 3'
_cell_length_a 8.3464
_cell_length_b 8.3464
_cell_length_c 8.3464
_cell_angle_alpha 90.00
_cell_angle_beta 90.00
_cell_angle_gamma 90.00
loop_
_atom_site_label
_atom_site_fract_x
_atom_site_fract_y
_atom_site_fract_z
_atom_site_occupancy
K1 0.0000 0.0000 0.0000 1
Pm1 0.0000 0.0000 0.5000 1
B1 0.1010 0.2500 0.2500 1
```

Values from the calculation:
As for the formation energy from the elements: -0.321 eV/atom.



[12]
VASP calculation (GGA-PBE) on an optimized crystal structure of K2PmB2S6.

Geometry as CIF:
```
data_K2PmB2S6
_chemical_formula_sum 'K4 Pm2 B4 S12'
_space_group_name_H-M_alt 'C 1 2/m 1'
_space_group_IT_number 12
_cell_length_a 11.6737
_cell_length_b 6.6543
_cell_length_c 8.4360
_cell_angle_alpha 90.00
_cell_angle_beta 118.93
_cell_angle_gamma 90.00
loop_
_space_group_symop_operation_xyz
'x,y,z'
'-x,-y,-z'
'-x,y,-z'
'x,-y,z'
'x+1/2,y+1/2,z'
'-x+1/2,-y+1/2,-z'
'-x+1/2,y+1/2,-z'
'x+1/2,-y+1/2,z'
loop_
_atom_site_label
_atom_site_fract_x
_atom_site_fract_y
_atom_site_fract_z
_atom_site_occupancy
K1 0.2012 0.0000 0.1881 1
Pm1 0.0000 0.0000 0.5000 1
B1 0.0585 0.5000 0.2726 1
S1 0.0353 0.2684 0.7797 1
S2 0.2320 0.5000 0.3533 1
```

Values from the calculation:
Its energy relative to the elements, uncorrected is -0.960 eV per atom.